# LaMgTe2

An optimized crystal structure of LaMgTe2 (GGA-PBEsol, the Alexandria database).

Geometry as CIF:
```
data_LaMgTe2
_chemical_formula_sum 'La2 Mg2 Te4'
_cell_length_a 4.424
_cell_length_b 4.424
_cell_length_c 11.451
_cell_angle_alpha 90.00
_cell_angle_beta 90.00
_cell_angle_gamma 90.00
_space_group_name_H-M_alt 'I -4 m 2'
_space_group_IT_number 119
_space_group_name_Hall 'I -4 -2'
loop_
_atom_site_label
_atom_site_fract_x
_atom_site_fract_y
_atom_site_fract_z
_atom_site_occupancy
La1 0.000 0.000 0.000 1
Mg1 0.000 0.500 0.250 1
Te1 0.000 0.000 0.500 1
Te2 0.000 0.500 0.750 1
```

Calculated values
ΔE_f (raw): -0.971 eV per atom
Fermi-level density of states: 3.246 states/eV per cell
crystal system: tetragonal
uncorrected energy: -4.5000 eV per atom